# MgGeAu2

Crystalline MgGeAu2 at its relaxed geometry (PBE, Alexandria via LeMat-Bulk).

Unit cell a=3.6354 b=4.4932 c=4.4932 alpha=90.00 beta=90.00 gamma=90.00
Atoms (fractional coordinates):
1 Ge 0.5000 0.0000 0.0000
2 Mg 0.5000 0.5000 0.5000
3 Au 0.0000 0.5000 0.0000
4 Au 0.0000 0.0000 0.5000

Properties
ΔE_f (eV per formula unit): -0.98
SG: P4/mmm
Spin magnetization (μB per cell): 0.00
N(E_F) (states/eV/f.u.): 1.24